PBE KAgPt2, optimized geometry; total magnetization = 0.00 μB/atom; E_form = 163 meV/atom; density = 11.71 g cm⁻³; SG = P4/mmm (123)
1.0
2.847 0.000 0.000
0.000 2.847 0.000
0.000 0.000 9.395
Ag K Pt
1 1 2
Cartesian
1.424 1.424 2.349
1.424 1.424 7.046
0.000 0.000 0.264
0.000 0.000 4.434